# NbCr3 | Alexandria | meta-GGA SCAN | PBEsol geometry
data_NbCr3
_cell_length_a 3.755
_cell_length_b 3.755
_cell_length_c 3.755
_cell_angle_alpha 90.00
_cell_angle_beta 90.00
_cell_angle_gamma 90.00
_symmetry_space_group_name_H-M 'P m -3 m'
_symmetry_Int_Tables_number 221
_symmetry_space_group_name_Hall '-P 4 2 3'
loop_
_atom_site_label
_atom_site_type_symbol
_atom_site_fract_x
_atom_site_fract_y
_atom_site_fract_z
_atom_site_occupancy
Nb1 Nb 0.000 0.000 0.000 1
Cr1 Cr 0.000 0.500 0.500 1
# - energy relative to the elements (eV/atom) = 0.509
# - E_tot (eV per atom) = -21.562